[1]
VASP calculation (PBE) on a geometry-optimized Li2MgTi structure.

Energy relative to the elements: 0.5280 eV per atom
DFT total energy: -2.801 eV/atom
Total magnetization: 4.9 μB per cell

Cell: 7.3790 7.3790 5.9775 Å, 51.89 51.89 90.00°
Each line ends with the local moment (μB).
Atoms (fractional coordinates):
Mg 0.2500 0.7500 0.5000  0.01
Mg 0.5000 0.5000 0.0000  0.01
Li 0.1308 0.6250 0.2500  0.04
Li 0.8750 0.8692 0.7500  0.04
Li 0.3750 0.3808 0.7500  0.04
Li 0.6192 0.1250 0.2500  0.04
Ti 0.7500 0.2500 0.5000  1.64
Ti 0.0000 0.0000 0.0000  1.64

***

[2]
VASP calculation (PBE) on a geometry-optimized GeRuN structure.

Formation energy from raw total energies: 0.22 eV/atom
Energy above the lowest structure with this stoichiometry: 0.119 eV per atom
DFT total energy: -7.181 eV/atom
Total magnetization: 0.0 μB per cell

Cell: 2.8980 4.8064 5.7073 Å, 76.31 79.19 82.33°
Atoms (fractional coordinates):
Ge 0.5565 0.7505 0.2868
Ge 0.4435 0.2495 0.7132
N 0.4335 0.3461 0.3515
N 0.5665 0.6539 0.6485
Ru 0.0387 0.1886 0.1588
Ru 0.9613 0.8114 0.8412

***

[3]
VASP calculation (PBE) on a geometry-optimized Ce2Zn3Cu structure.

Energy relative to the elements: -0.2326 eV per atom
DFT total energy: -3.530 eV/atom
Total magnetization: 2.5 μB per cell

Cell: 5.5614 5.5614 8.5211 Å, 90.00 90.00 120.00°
Each line ends with the local moment (μB).
Atoms (fractional coordinates):
Ce 0.6667 0.3333 0.4355  0.55
Ce 0.3333 0.6667 0.5645  0.55
Ce 0.6667 0.3333 0.0645  0.55
Ce 0.3333 0.6667 0.9355  0.55
Zn 0.1621 0.8379 0.2500  0.00
Zn 0.3242 0.1621 0.7500  0.00
Zn 0.6758 0.8379 0.2500  0.00
Zn 0.8379 0.6758 0.7500  0.00
Zn 0.8379 0.1621 0.7500  0.00
Zn 0.1621 0.3242 0.2500  0.00
Cu 0.0000 0.0000 0.0000  0.00
Cu 0.0000 0.0000 0.5000  0.00

***

[4]
VASP calculation (PBE) on a geometry-optimized MnTlSn2 structure.

Energy relative to the elements: 0.1931 eV per atom
Energy above the lowest structure with this stoichiometry: 0.068 eV per atom
DFT total energy: -4.692 eV/atom
Total magnetization: 3.3 μB per cell

Cell: 3.2561 3.2561 10.8201 Å, 81.35 81.35 60.00°
Each line ends with the local moment (μB).
Atoms (fractional coordinates):
Sn 0.9008 0.9008 0.2976  -0.06
Sn 0.0992 0.0992 0.7024  -0.06
Tl 0.0000 0.0000 0.0000  -0.03
Mn 0.5000 0.5000 0.5000  3.44